## DyFe5Si2 (GGA-PBE)

Data for DyFe5Si2 after structural relaxation.

Output
The value obtained for the theoretical density is 7.5 Mg/m³. As for the space group: Immm, No. 71. The uncorrected formation energy is -332 meV per atom. As for the density of states at the Fermi level: 5.33 states/eV per cell.

Lattice parameters (Å, degrees): 6.057 6.057 6.057 147.15 109.94 79.57
Element x y z (fractional)
Dy 0.000 0.000 0.000
Fe 0.165 0.351 0.814
Fe 0.463 0.649 0.814
Fe 0.500 0.000 0.500
Fe 0.537 0.351 0.186
Fe 0.835 0.649 0.186
Si 0.245 0.745 0.500
Si 0.755 0.255 0.500